Entry from the Alexandria database: an optimized crystal structure of YHo5Bi4 (PBE).

Calculated values
ΔH_f (0 K) ... -0.55 eV/atom
DOS(E_F) ... 7.60 states/eV/f.u.

Lattice parameters (Å, degrees): 10.1468 10.1468 7.7044 101.14 101.14 24.97
Last column: nearest neighbours and their distance in Å.
Sites, in units of the cell vectors:
Y  0.0000  0.0000  0.0000  6 Bi 3.17-3.28
Ho  0.0000  0.0000  0.5000  6 Bi 3.15-3.22
Ho  0.3041  0.3041  0.3873  4 Bi 3.16-3.29
Ho  0.3116  0.3116  0.9135  3 Bi 3.09-3.18
Ho  0.6884  0.6884  0.0865  3 Bi 3.09-3.18
Ho  0.6959  0.6959  0.6127  4 Bi 3.16-3.29
Bi  0.1348  0.1348  0.3259  6 Ho 3.18-3.29, 1 Y 3.28
Bi  0.4378  0.4378  0.2210  4 Ho 3.09-3.16, 2 Y 3.17
Bi  0.5622  0.5622  0.7790  4 Ho 3.09-3.16, 2 Y 3.17
Bi  0.8652  0.8652  0.6741  6 Ho 3.18-3.29, 1 Y 3.28